Entry from Alexandria via LeMat-Bulk: a geometry-optimized Mg3Ag2Au2 structure (PBE-GGA).

Lattice parameters (Å, degrees): 4.5992 4.6350 7.2808 107.03 91.31 118.88
With the nearest neighbours (Å) after each atom.
Element x y z (fractional)
Mg  0.0000  0.0000  0.0000  6 Au 2.86-2.88, 2 Ag 2.91, 2 Mg 3.19
Mg  0.4223  0.8413  0.2681  4 Au 2.79-2.84, 3 Ag 2.88-2.90
Mg  0.5777  0.1587  0.7319  4 Au 2.79-2.84, 3 Ag 2.88-2.90
Ag  0.1420  0.2821  0.4257  3 Ag 2.85-2.88, 4 Mg 2.88-2.91, 1 Au 2.91
Ag  0.8580  0.7179  0.5743  3 Ag 2.85-2.88, 4 Mg 2.88-2.91, 1 Au 2.91
Au  0.2845  0.5711  0.8515  7 Mg 2.79-2.88, 1 Ag 2.91
Au  0.7155  0.4289  0.1485  7 Mg 2.79-2.88, 1 Ag 2.91

Results
- ΔE_f (meV/atom) = -392
- crystal system = triclinic
- M_tot (μB per atom) = 0.00